This record from the Alexandria database describes a relaxed structure of DyYGaNi. The functional is PBE.

CIF file:
```
data_DyYGaNi
_cell_length_a 3.729
_cell_length_b 4.328
_cell_length_c 5.773
_cell_angle_alpha 90.00
_cell_angle_beta 108.84
_cell_angle_gamma 90.00
_symmetry_space_group_name_H-M 'P 1'
_symmetry_Int_Tables_number 1
_symmetry_space_group_name_Hall 'P 1'
loop_
_atom_site_label
_atom_site_fract_x
_atom_site_fract_y
_atom_site_fract_z
Ga1 0.570 0.500 0.140
Dy1 0.858 0.500 0.715
Ni1 0.432 0.000 0.864
Y1 0.141 0.000 0.281
```

Summary:
DFT formation energy	-0.504	eV/atom
ΔE to the lowest computed polymorph	0	meV per atom
space-group type	Amm2

This record from the Alexandria database describes a relaxed structure of UAlTc2. The functional is PBE.

CIF file:
```
data_UAlTc2
_cell_length_a 3.470
_cell_length_b 4.359
_cell_length_c 4.359
_cell_angle_alpha 90.00
_cell_angle_beta 90.00
_cell_angle_gamma 90.00
_symmetry_space_group_name_H-M 'P 1'
_symmetry_Int_Tables_number 1
_symmetry_space_group_name_Hall 'P 1'
loop_
_atom_site_label
_atom_site_fract_x
_atom_site_fract_y
_atom_site_fract_z
U1 0.500 0.500 0.500
Tc1 0.000 0.500 0.000
Tc2 0.000 0.000 0.500
Al1 0.500 0.000 0.000
```

Summary:
DFT formation energy	-0.371	eV/atom
ΔE to the lowest computed polymorph	0	meV per atom
space-group type	P4/mmm

This record from the Alexandria database describes a relaxed structure of Ta2Nb2H3. The functional is PBE.

CIF file:
```
data_Ta2Nb2H3
_cell_length_a 3.340
_cell_length_b 4.909
_cell_length_c 5.572
_cell_angle_alpha 112.22
_cell_angle_beta 107.44
_cell_angle_gamma 90.00
_symmetry_space_group_name_H-M 'P 1'
_symmetry_Int_Tables_number 1
_symmetry_space_group_name_Hall 'P 1'
loop_
_atom_site_label
_atom_site_fract_x
_atom_site_fract_y
_atom_site_fract_z
H1 0.000 0.000 0.000
H2 0.797 0.180 0.595
H3 0.203 0.820 0.405
Ta1 0.384 0.132 0.767
Ta2 0.616 0.868 0.233
Nb1 0.870 0.609 0.740
Nb2 0.130 0.391 0.260
```

Summary:
space-group type	C2/m

This record from the Alexandria database describes a relaxed structure of CaScAgHg. The functional is PBE.

CIF file:
```
data_CaScAgHg
_cell_length_a 3.563
_cell_length_b 3.563
_cell_length_c 7.388
_cell_angle_alpha 90.00
_cell_angle_beta 90.00
_cell_angle_gamma 90.00
_symmetry_space_group_name_H-M 'P 1'
_symmetry_Int_Tables_number 1
_symmetry_space_group_name_Hall 'P 1'
loop_
_atom_site_label
_atom_site_fract_x
_atom_site_fract_y
_atom_site_fract_z
Ca1 0.000 0.000 0.863
Sc1 0.000 0.000 0.348
Ag1 0.500 0.500 0.140
Hg1 0.500 0.500 0.578
```

Summary:
DFT formation energy	-0.370	eV/atom
ΔE to the lowest computed polymorph	0	meV per atom
space-group type	P4mm

What total DFT energy (no corrections) values result from the calculations? In sequence: -5.4729, -9.3115, -7.8437, -3.2416 eV per atom.